# 1
# CrTeAsI2, optimized geometry, DFT PBEsol
# E = -3.942 eV per atom
# formation energy (no corrections) = 0.540 eV/atom
data_CrTeAsI2
_chemical_formula_sum 'Cr1 Te1 As1 I2'
_cell_length_a 5.201
_cell_length_b 5.201
_cell_length_c 5.301
_cell_angle_alpha 90.00
_cell_angle_beta 90.00
_cell_angle_gamma 90.00
_symmetry_space_group_name_H-M 'P 1'
_symmetry_Int_Tables_number 1
loop_
_symmetry_equiv_pos_as_xyz
'x,y,z'
loop_
_atom_site_label
_atom_site_type_symbol
_atom_site_fract_x
_atom_site_fract_y
_atom_site_fract_z
Cr1 Cr 0.000 0.000 0.000
Te1 Te 0.000 0.000 0.500
As1 As 0.500 0.500 0.500
I1 I 0.000 0.500 0.000
I2 I 0.500 0.000 0.000

***

# 2
# MgCdAg, optimized geometry, DFT PBEsol
# E = -2.202 eV per atom
# ΔE_f = -0.1267 eV per atom
# offset from the most stable computed form = 40 meV per atom
data_MgCdAg
_chemical_formula_sum 'Mg1 Cd1 Ag1'
_cell_length_a 4.708
_cell_length_b 4.708
_cell_length_c 2.949
_cell_angle_alpha 90.00
_cell_angle_beta 90.00
_cell_angle_gamma 120.00
_symmetry_space_group_name_H-M 'P 1'
_symmetry_Int_Tables_number 1
loop_
_symmetry_equiv_pos_as_xyz
'x,y,z'
loop_
_atom_site_label
_atom_site_type_symbol
_atom_site_fract_x
_atom_site_fract_y
_atom_site_fract_z
Mg1 Mg 0.000 0.000 0.000
Cd1 Cd 0.667 0.333 0.588
Ag1 Ag 0.333 0.667 0.371

***

# 3
# B2PI, optimized geometry, DFT PBEsol
# E = -4.659 eV per atom
# formation energy (no corrections) = 0.739 eV/atom
data_B2PI
_chemical_formula_sum 'B8 P4 I4'
_cell_length_a 5.471
_cell_length_b 5.471
_cell_length_c 8.160
_cell_angle_alpha 90.00
_cell_angle_beta 90.00
_cell_angle_gamma 90.00
_symmetry_space_group_name_H-M 'P 1'
_symmetry_Int_Tables_number 1
loop_
_symmetry_equiv_pos_as_xyz
'x,y,z'
loop_
_atom_site_label
_atom_site_type_symbol
_atom_site_fract_x
_atom_site_fract_y
_atom_site_fract_z
B1 B 0.162 0.750 0.125
B2 B 0.250 0.162 0.875
B3 B 0.250 0.338 0.375
B4 B 0.338 0.750 0.625
B5 B 0.662 0.250 0.625
B6 B 0.750 0.662 0.375
B7 B 0.750 0.838 0.875
B8 B 0.838 0.250 0.125
P1 P 0.000 0.000 0.000
P2 P 0.000 0.500 0.250
P3 P 0.500 0.000 0.750
P4 P 0.500 0.500 0.500
I1 I 0.000 0.000 0.500
I2 I 0.000 0.500 0.750
I3 I 0.500 0.000 0.250
I4 I 0.500 0.500 0.000